# Na2ScGaB

A relaxed Na2ScGaB crystal (PBE, Alexandria).

abc: 5.2360 3.9576 5.2360
angles: 90.00 90.00 90.00
Site moments in Bohr magnetons follow the coordinates.
Positions (direct):
Sc1 0.5000 0.5000 0.5000  0.37
Na1 0.5000 0.0000 0.0000  0.01
Na2 0.0000 0.0000 0.5000  0.01
B1 0.0000 0.0000 0.0000  -0.02
Ga1 0.0000 0.5000 0.0000  0.00

Output
Volume in A^3/atom: 21.70
Crystal system: tetragonal
Symmetry: P4/mmm
Total energy in eV/cell: -15.6
Energy relative to the elements in kJ/mol of formula units: 300
Density of states at the Fermi level in states/eV per atom: 1.0666